No. 1
A relaxed BiSb2Au4 crystal. Source: the Alexandria database, functional PBE.

a b c (Å): 4.2362 10.5491 8.1535
angles (deg): 90.00 91.11 90.00
Element x y z (fractional)
Bi 0.0055 0.2500 0.2375
Bi 0.9945 0.7500 0.7625
Sb 0.4958 0.0821 0.7822
Sb 0.4958 0.4179 0.7822
Sb 0.5042 0.5821 0.2178
Sb 0.5042 0.9179 0.2178
Au 0.0000 0.0000 0.0000
Au 0.9996 0.2500 0.8575
Au 0.0000 0.5000 0.0000
Au 0.0004 0.7500 0.1425
Au 0.4846 0.6212 0.5625
Au 0.4846 0.8788 0.5625
Au 0.5154 0.1212 0.4375
Au 0.5154 0.3788 0.4375

Results
N(E_F), states/eV/f.u.: 3.33
ΔE to the lowest computed polymorph, meV per atom: 0.0
Electronic total energy, eV/f.u.: -25.091
Raw formation energy, meV/atom: 21
ρ, g/cm3: 11.3

***

No. 2
A relaxed CdSiOsN2 crystal. Source: the Alexandria database, functional PBE.

a b c (Å): 3.7135 3.7135 4.9153
angles (deg): 90.00 90.00 90.00
Element x y z (fractional)
Cd 0.0000 0.0000 0.0000
Si 0.5000 0.5000 0.5000
Os 0.5000 0.5000 0.0000
N 0.0000 0.5000 0.5000
N 0.5000 0.0000 0.5000

Results
N(E_F), states/eV/f.u.: 3.35
Electronic total energy, eV/f.u.: -27.615
Raw formation energy, meV/atom: 1321
ρ, g/cm3: 8.8

***

No. 3
A relaxed PaAlAu2N crystal. Source: the Alexandria database, functional PBE.

a b c (Å): 3.7512 3.7512 12.8645
angles (deg): 90.00 90.00 90.00
Element x y z (fractional)
Pa 0.2500 0.2500 0.0969
Pa 0.7500 0.7500 0.9031
Al 0.2500 0.2500 0.5666
Al 0.7500 0.7500 0.4334
Au 0.2500 0.2500 0.3669
Au 0.2500 0.2500 0.7674
Au 0.7500 0.7500 0.2326
Au 0.7500 0.7500 0.6331
N 0.2500 0.7500 0.0000
N 0.7500 0.2500 0.0000

Results
N(E_F), states/eV/f.u.: 2.64
Electronic total energy, eV/f.u.: -32.441
Raw formation energy, meV/atom: -864
ρ, g/cm3: 12.2